A:
First-principles (PBE with a Hubbard U) data for a geometry-optimized MnBeI2O structure, as listed in the Alexandria database.

Summary:
DOS at the Fermi energy = 0.09 states/eV per atom
crystal system = tetragonal
spin magnetization = 1.02 μB/atom
symmetry = P4/mmm (123)

abc: 6.660 6.660 2.954
angles: 90.00 90.00 90.00
Fractional positions:
Mn: 0.000 0.000 0.000
Be: 0.500 0.500 0.500
I: 0.000 0.500 0.500
I: 0.500 0.000 0.500
O: 0.500 0.500 0.000

=====

B:
First-principles (PBE with a Hubbard U) data for a geometry-optimized MnBeI2O structure, as listed in the Alexandria database.

Summary:
DOS at the Fermi energy = 0.88 states/eV per atom
crystal system = tetragonal
spin magnetization = 0.85 μB/atom
symmetry = P4/mmm (123)

abc: 5.678 5.678 3.728
angles: 90.00 90.00 90.00
Fractional positions:
Mn: 0.000 0.000 0.000
Be: 0.500 0.500 0.500
I: 0.000 0.500 0.000
I: 0.500 0.000 0.000
O: 0.000 0.000 0.500

=====

Relative stability in meV per atom, measured from the most stable structure: A 0; B 684